1.
Here is a geometry-optimized Tm8NiGe3Te4 structure from the Alexandria database. Energies are from GGA-PBE.

Calculated values
The formation energy without anion corrections comes out at -1016 meV per atom. The total energy is -5.26 eV per atom.

```
Tm8NiGe3Te4
1.0
-2.947 2.541 -7.328
7.393 -2.040 -3.681
-4.087 -5.770 4.340
Te Tm Ni Ge
4 8 1 3
direct
0.000 0.000 0.500 Te
0.500 0.000 0.000 Te
0.000 0.000 0.000 Te
0.500 0.000 0.500 Te
0.258 0.285 0.021 Tm
0.742 0.715 0.979 Tm
0.740 0.719 0.480 Tm
0.763 0.285 0.021 Tm
0.763 0.284 0.526 Tm
0.237 0.716 0.474 Tm
0.260 0.281 0.520 Tm
0.237 0.715 0.979 Tm
0.000 0.500 0.000 Ni
0.500 0.500 0.000 Ge
0.500 0.500 0.500 Ge
0.000 0.500 0.500 Ge
```


2.
Here is a geometry-optimized Na2HoTl3 structure from the Alexandria database. Energies are from GGA-PBE.

Calculated values
The total energy is -2.56 eV per atom. The energy of formation from the pure elements comes out at -4.0 kcal/mol of atoms.

```
Na2HoTl3
1.0
-1.668 0.995 3.200
-3.099 -1.819 -1.050
4.028 -9.844 5.159
Tl Na Ho
3 2 1
direct
0.000 0.000 0.000 Tl
0.000 0.000 0.663 Tl
0.000 0.000 0.337 Tl
0.500 0.500 0.171 Na
0.500 0.500 0.829 Na
0.500 0.500 0.500 Ho
```


3.
Here is a geometry-optimized Ce3SmAs4 structure from the Alexandria database. Energies are from GGA-PBE.

Calculated values
The total energy is -6.59 eV per atom. The energy of formation from the pure elements comes out at -33.5 kcal/mol of atoms.

```
Ce3SmAs4
1.0
5.451 0.000 -2.419
-1.074 5.344 -2.419
-0.021 -0.026 7.303
As Ce Sm
4 3 1
direct
0.749 0.749 0.498 As
0.000 0.500 0.000 As
0.251 0.251 0.502 As
0.500 0.000 0.000 As
0.500 0.500 0.000 Ce
0.250 0.750 0.500 Ce
0.750 0.250 0.500 Ce
0.000 0.000 0.000 Sm
```


4.
Here is a geometry-optimized LaSm3Er5 structure from the Alexandria database. Energies are from GGA-PBE.

Calculated values
The polymorph energy (0 for the lowest one) comes out at 0 meV per atom. The total energy is -4.34 eV per atom. The energy of formation from the pure elements comes out at 7.3 kcal/mol of atoms.

```
LaSm3Er5
1.0
6.028 0.000 0.000
-3.014 9.029 -3.329
0.000 -0.531 11.256
Sm La Er
6 2 10
direct
0.597 0.642 0.638 Sm
0.403 0.358 0.362 Sm
0.046 0.642 0.138 Sm
0.000 0.000 0.500 Sm
0.954 0.358 0.862 Sm
0.000 0.000 0.000 Sm
0.869 0.000 0.750 La
0.131 0.000 0.250 La
0.096 0.674 0.804 Er
0.579 0.674 0.304 Er
0.380 0.000 0.750 Er
0.904 0.326 0.196 Er
0.909 0.341 0.530 Er
0.431 0.341 0.030 Er
0.421 0.326 0.696 Er
0.091 0.659 0.470 Er
0.620 0.000 0.250 Er
0.569 0.659 0.970 Er
```